{
  "formula": "Na3NbCd",
  "functional": "PBE",
  "state": "optimized geometry",
  "de_polymorph_ev_per_fu": 0.00,
  "sg": "No. 221",
  "formation_energy_ev_per_atom": 1.08,
  "lattice": [[5.592, 0.000, 0.000], [0.000, 5.592, 0.000], [0.000, 0.000, 5.592]],
  "species": ["Na", "Na", "Na", "Nb", "Cd"],
  "frac_coords": [[0.000, 0.000, 0.500], [0.000, 0.500, 0.000], [0.500, 0.000, 0.000], [0.500, 0.500, 0.500], [0.000, 0.000, 0.000]]
}